Density functional theory data (PBE-GGA) for a relaxed structure of SrSc2Ir.

```
data_SrSc2Ir
_cell_length_a 3.9022
_cell_length_b 3.6246
_cell_length_c 8.1435
_cell_angle_alpha 90.00
_cell_angle_beta 103.79
_cell_angle_gamma 90.00
_symmetry_space_group_name_H-M 'P 1 m 1'
_symmetry_Int_Tables_number 6
loop_
_symmetry_equiv_pos_as_xyz
'x,y,z'
'x,-y,z'
loop_
_atom_site_label
_atom_site_fract_x
_atom_site_fract_y
_atom_site_fract_z
_atom_site_occupancy
Sr1 0.0000 0.0000 0.0000 1
Sc1 0.3002 0.0000 0.6048 1
Sc2 0.6742 0.5000 0.3502 1
Ir1 0.8300 0.5000 0.6651 1
```

Energy of formation from the pure elements: -293.7 meV/atom
DOS at the Fermi energy: 2.86 states/eV per cell
Energy: -6.095 eV per atom